Computed, not measured: a relaxed NaNdCdSn crystal at the PBE level of DFT.

Geometry as CIF:
```
data_NaNdCdSn
_cell_length_a 7.584
_cell_length_b 7.584
_cell_length_c 7.584
_cell_angle_alpha 90.00
_cell_angle_beta 90.00
_cell_angle_gamma 90.00
_space_group_name_H-M_alt 'F -4 3 m'
_space_group_IT_number 216
_space_group_name_Hall 'F -4 2 3'
loop_
_atom_site_label
_atom_site_type_symbol
_atom_site_fract_x
_atom_site_fract_y
_atom_site_fract_z
Na1 Na 0.000 0.000 0.000
Nd1 Nd 0.000 0.000 0.500
Cd1 Cd 0.250 0.250 0.750
Sn1 Sn 0.250 0.250 0.250
```

## Properties
For the energy relative to the elements, the calculation gives -0.376 eV/atom. The calculation puts the total DFT energy (no corrections) at -3.127 eV per atom.



Computed, not measured: a relaxed PmDy3Y5 crystal at the PBE level of DFT.

Geometry as CIF:
```
data_PmDy3Y5
_cell_length_a 9.7612
_cell_length_b 9.7612
_cell_length_c 7.0352
_cell_angle_alpha 90.00
_cell_angle_beta 90.00
_cell_angle_gamma 120.00
_space_group_name_H-M_alt 'P 63/m c m'
_space_group_IT_number 193
_space_group_name_Hall '-P 6c 2'
loop_
_atom_site_label
_atom_site_type_symbol
_atom_site_fract_x
_atom_site_fract_y
_atom_site_fract_z
Pm1 Pm 0.0000 0.0000 0.0000
Dy1 Dy 0.0000 0.3510 0.2500
Y1 Y 0.0000 0.3182 0.7500
Y2 Y 0.3333 0.6667 0.0000
```

## Properties
For the energy relative to the elements, the calculation gives 0.064 eV/atom. The calculation puts the energy above the most stable polymorph in this dataset at 0.000 eV per atom. The calculation puts the total DFT energy (no corrections) at -5.589 eV per atom.



Computed, not measured: a relaxed TbEr12Th6 crystal at the PBE level of DFT.

Geometry as CIF:
```
data_TbEr12Th6
_cell_length_a 10.697
_cell_length_b 10.697
_cell_length_c 10.697
_cell_angle_alpha 90.00
_cell_angle_beta 90.00
_cell_angle_gamma 90.00
_space_group_name_H-M_alt 'I m -3'
_space_group_IT_number 204
_space_group_name_Hall '-I 2 2 3'
loop_
_atom_site_label
_atom_site_type_symbol
_atom_site_fract_x
_atom_site_fract_y
_atom_site_fract_z
Tb1 Tb 0.000 0.000 0.000
Er1 Er 0.000 0.189 0.261
Th1 Th 0.000 0.355 0.500
```

## Properties
For the energy relative to the elements, the calculation gives 0.296 eV/atom. The calculation puts the total DFT energy (no corrections) at -5.173 eV per atom.



Computed, not measured: a relaxed SrTa5 crystal at the PBE level of DFT.

Geometry as CIF:
```
data_SrTa5
_cell_length_a 4.971
_cell_length_b 2.800
_cell_length_c 18.551
_cell_angle_alpha 90.00
_cell_angle_beta 90.00
_cell_angle_gamma 90.00
_space_group_name_H-M_alt 'A m m 2'
_space_group_IT_number 38
loop_
_space_group_symop_operation_xyz
'x,y,z'
'-x,-y,z'
'-x,y,z'
'x,-y,z'
'x,y+1/2,z+1/2'
'-x,-y+1/2,z+1/2'
'-x,y+1/2,z+1/2'
'x,-y+1/2,z+1/2'
loop_
_atom_site_label
_atom_site_type_symbol
_atom_site_fract_x
_atom_site_fract_y
_atom_site_fract_z
Sr1 Sr 0.000 0.000 0.000
Ta1 Ta 0.000 0.000 0.326
Ta2 Ta 0.000 0.000 0.676
Ta3 Ta 0.500 0.000 0.243
Ta4 Ta 0.500 0.000 0.608
Ta5 Ta 0.500 0.000 0.886
```

## Properties
For the energy relative to the elements, the calculation gives 0.601 eV/atom. The calculation puts the energy above the most stable polymorph in this dataset at 0.093 eV per atom. The calculation puts the total DFT energy (no corrections) at -9.556 eV per atom.



Computed, not measured: a relaxed K3PaCd2Te6 crystal at the PBE level of DFT.

Geometry as CIF:
```
data_K3PaCd2Te6
_cell_length_a 7.699
_cell_length_b 13.374
_cell_length_c 8.656
_cell_angle_alpha 90.00
_cell_angle_beta 107.23
_cell_angle_gamma 90.00
_space_group_name_H-M_alt 'C 1 2/m 1'
_space_group_IT_number 12
loop_
_space_group_symop_operation_xyz
'x,y,z'
'-x,-y,-z'
'-x,y,-z'
'x,-y,z'
'x+1/2,y+1/2,z'
'-x+1/2,-y+1/2,-z'
'-x+1/2,y+1/2,-z'
'x+1/2,-y+1/2,z'
loop_
_atom_site_label
_atom_site_type_symbol
_atom_site_fract_x
_atom_site_fract_y
_atom_site_fract_z
K1 K 0.000 0.000 0.000
K2 K 0.000 0.331 0.000
Pa1 Pa 0.000 0.500 0.500
Cd1 Cd 0.000 0.166 0.500
Te1 Te 0.233 0.336 0.705
Te2 Te 0.241 0.000 0.706
```

## Properties
As for the energy relative to the elements, uncorrected: -0.78 eV/atom. The calculation puts the total DFT energy (no corrections) at -3.571 eV per atom.



Computed, not measured: a relaxed Hg8SbPb5 crystal at the PBE level of DFT.

Geometry as CIF:
```
data_Hg8SbPb5
_cell_length_a 9.343
_cell_length_b 9.343
_cell_length_c 9.244
_cell_angle_alpha 90.00
_cell_angle_beta 90.00
_cell_angle_gamma 90.00
_space_group_name_H-M_alt 'I -4'
_space_group_IT_number 82
loop_
_space_group_symop_operation_xyz
'x,y,z'
'y,-x,-z'
'-x,-y,z'
'-y,x,-z'
'x+1/2,y+1/2,z+1/2'
'y+1/2,-x+1/2,-z+1/2'
'-x+1/2,-y+1/2,z+1/2'
'-y+1/2,x+1/2,-z+1/2'
loop_
_atom_site_label
_atom_site_type_symbol
_atom_site_fract_x
_atom_site_fract_y
_atom_site_fract_z
Hg1 Hg 0.066 0.333 0.423
Hg2 Hg 0.096 0.178 0.751
Sb1 Sb 0.000 0.000 0.500
Pb1 Pb 0.000 0.500 0.750
Pb2 Pb 0.113 0.216 0.087
```

## Properties
As for the energy relative to the elements, uncorrected: 0.08 eV/atom. The calculation puts the total DFT energy (no corrections) at -1.706 eV per atom.



Computed, not measured: a relaxed ErCd2Pd9 crystal at the PBE level of DFT.

Geometry as CIF:
```
data_ErCd2Pd9
_cell_length_a 4.050
_cell_length_b 4.050
_cell_length_c 12.218
_cell_angle_alpha 90.00
_cell_angle_beta 90.00
_cell_angle_gamma 90.00
_space_group_name_H-M_alt 'P 4/m m m'
_space_group_IT_number 123
_space_group_name_Hall '-P 4 2'
loop_
_atom_site_label
_atom_site_type_symbol
_atom_site_fract_x
_atom_site_fract_y
_atom_site_fract_z
Er1 Er 0.000 0.000 0.000
Cd1 Cd 0.000 0.000 0.337
Pd1 Pd 0.000 0.500 0.170
Pd2 Pd 0.000 0.500 0.500
Pd3 Pd 0.500 0.500 0.000
Pd4 Pd 0.500 0.500 0.334
```

## Properties
For the energy relative to the elements, the calculation gives -0.451 eV/atom. The calculation puts the total DFT energy (no corrections) at -4.879 eV per atom.



Computed, not measured: a relaxed MgPt2W crystal at the PBE level of DFT.

Geometry as CIF:
```
data_MgPt2W
_cell_length_a 2.8455
_cell_length_b 2.8455
_cell_length_c 27.2050
_cell_angle_alpha 90.00
_cell_angle_beta 90.00
_cell_angle_gamma 120.00
_space_group_name_H-M_alt 'R -3 m'
_space_group_IT_number 166
_space_group_name_Hall '-R 3 2"'
loop_
_atom_site_label
_atom_site_type_symbol
_atom_site_fract_x
_atom_site_fract_y
_atom_site_fract_z
Mg1 Mg 0.0000 0.0000 0.0000
Pt1 Pt 0.0000 0.0000 0.2500
W1 W 0.0000 0.0000 0.5000
```

## Properties
For the energy relative to the elements, the calculation gives -0.272 eV/atom. The calculation puts the total DFT energy (no corrections) at -6.929 eV per atom.



Computed, not measured: a relaxed Tb2DyThSe4 crystal at the PBE level of DFT.

Geometry as CIF:
```
data_Tb2DyThSe4
_cell_length_a 7.140
_cell_length_b 4.080
_cell_length_c 7.184
_cell_angle_alpha 90.00
_cell_angle_beta 109.05
_cell_angle_gamma 90.00
_space_group_name_H-M_alt 'P 1 2/m 1'
_space_group_IT_number 10
loop_
_space_group_symop_operation_xyz
'x,y,z'
'-x,-y,-z'
'-x,y,-z'
'x,-y,z'
loop_
_atom_site_label
_atom_site_type_symbol
_atom_site_fract_x
_atom_site_fract_y
_atom_site_fract_z
Tb1 Tb 0.000 0.000 0.000
Tb2 Tb 0.000 0.500 0.500
Dy1 Dy 0.500 0.000 0.500
Th1 Th 0.500 0.500 0.000
Se1 Se 0.242 0.000 0.741
Se2 Se 0.247 0.500 0.255
```

## Properties
As for the energy relative to the elements, uncorrected: -1.69 eV/atom. The calculation puts the total DFT energy (no corrections) at -6.097 eV per atom.



Computed, not measured: a relaxed Te2MoBr crystal at the PBE level of DFT.

Geometry as CIF:
```
data_Te2MoBr
_cell_length_a 5.360
_cell_length_b 10.520
_cell_length_c 3.991
_cell_angle_alpha 90.00
_cell_angle_beta 90.00
_cell_angle_gamma 90.00
_space_group_name_H-M_alt 'C m m m'
_space_group_IT_number 65
_space_group_name_Hall '-C 2 2'
loop_
_atom_site_label
_atom_site_type_symbol
_atom_site_fract_x
_atom_site_fract_y
_atom_site_fract_z
Te1 Te 0.000 0.180 0.000
Mo1 Mo 0.000 0.000 0.500
Br1 Br 0.000 0.500 0.500
```

## Properties
As for the energy relative to the elements, uncorrected: 0.02 eV/atom. The calculation puts the energy above the most stable polymorph in this dataset at 0.106 eV per atom. The calculation puts the total DFT energy (no corrections) at -4.675 eV per atom.